VASP calculation (PBE-GGA) on a geometry-optimized Ag12Te5S2 structure.

abc: 7.6293 8.8061 9.2383
angles: 122.00 90.00 115.67
With the nearest neighbours (Å) after each atom.
Sites, in units of the cell vectors:
1 Ag 0.5243 0.6166 0.8974  1 S 2.65, 3 Te 2.81-2.96
2 Ag 0.4988 0.9977 0.8247  2 S 2.68, 2 Te 2.82-2.96, 2 Ag 2.95
3 Ag 0.0923 0.6166 0.8974  1 S 2.65, 3 Te 2.81-2.96
4 Ag 0.1771 0.7613 0.4888  4 Te 2.89-3.01, 4 Ag 2.95-3.11
5 Ag 0.5842 0.7613 0.4888  4 Te 2.89-3.01, 4 Ag 2.95-3.11
6 Ag 0.8229 0.2387 0.5112  4 Te 2.89-3.01, 4 Ag 2.95-3.11
7 Ag 0.9077 0.3834 0.1026  1 S 2.65, 3 Te 2.81-2.96
8 Ag 0.9409 0.8818 0.7441  2 S 2.58
9 Ag 0.4757 0.3834 0.1026  1 S 2.65, 3 Te 2.81-2.96
10 Ag 0.4158 0.2387 0.5112  4 Te 2.89-3.01, 4 Ag 2.95-3.11
11 Ag 0.5012 0.0023 0.1753  2 S 2.68, 2 Te 2.82-2.96, 2 Ag 2.95
12 Ag 0.0591 0.1182 0.2559  2 S 2.58
13 S 0.7816 0.0000 0.0000  6 Ag 2.58-2.68
14 S 0.2184 0.0000 0.0000  6 Ag 2.58-2.68
15 Te 0.3253 0.6505 0.1802  7 Ag 2.81-2.96
16 Te 0.7319 0.4638 0.3994  8 Ag 2.93-3.01
17 Te 0.0000 0.0000 0.5000  6 Ag 2.91
18 Te 0.6747 0.3495 0.8198  7 Ag 2.81-2.96
19 Te 0.2681 0.5362 0.6006  8 Ag 2.93-3.01

## Properties
Formation energy (no corrections): 0.4 eV/f.u.
Spin magnetization: 0.00 μB per formula unit
Total DFT energy (no corrections): -3.04 eV/atom